Compound: MgTaTe2
Source: Alexandria
Functional: PBE
Structure: optimized geometry

It has space group P2/m (No. 10), with a = 3.061 Å, b = 4.580 Å, c = 6.885 Å, α = 90.00°, β = 91.28° and γ = 90.00°. The distinct sites, in fractional coordinates, are Mg at (0.000, 0.000, 0.000), Ta at (0.500, 0.000, 0.500) and Te at (0.280, 0.500, 0.735).

Its density of states at the Fermi level is 3.07 states/eV/cell. The total moment comes out at 0.0 μB/cell. The calculation puts the total energy at -4.660 eV per atom.

Compound: MgTaTe
Source: Alexandria
Functional: PBE
Structure: optimized geometry

It has space group I4mm (No. 107), with a = 3.525 Å, b = 3.525 Å, c = 9.837 Å, α = 90.00°, β = 90.00° and γ = 90.00°. The distinct sites, in fractional coordinates, are Mg at (0.000, 0.000, 0.000), Ta at (0.000, 0.000, 0.675) and Te at (0.000, 0.000, 0.317).

Its density of states at the Fermi level is 2.51 states/eV/cell. The total moment comes out at 0.0 μB/cell. The calculation puts the total energy at -5.492 eV per atom. The calculation puts the excess energy over the best structure of this formula in the dataset at 0.000 eV per atom.

Asked for formation energy without anion corrections across the records above, the calculation gives 0.27, 0.04 eV per atom in order.